MgTi2HRh | PBE | relaxed

Results
* E above lowest polymorph: 0.00 eV per formula unit
* volume: 66.35 Å³/cell
* E: -5.91 eV/atom

```
5
Lattice="3.9347 0.0000 0.0000 0.0000 3.9347 0.0000 0.0000 0.0000 4.2855" Properties=species:S:1:pos:R:3 pbc="T T T"
Mg 0.0000 0.0000 0.0000
Ti 0.0000 1.9673 2.1428
Ti 1.9673 0.0000 2.1428
H 0.0000 0.0000 2.1428
Rh 1.9673 1.9673 0.0000
```